Version a
TaCoRh3: optimized geometry, PBE.

Structure (CIF):
```
data_TaCoRh3
_chemical_formula_sum 'Ta1 Co1 Rh3'
_cell_length_a 4.6892
_cell_length_b 4.6892
_cell_length_c 4.6892
_cell_angle_alpha 90.00
_cell_angle_beta 90.00
_cell_angle_gamma 90.00
_space_group_name_H-M_alt 'P 1'
_space_group_IT_number 1
loop_
_space_group_symop_operation_xyz
'x,y,z'
loop_
_atom_site_label
_atom_site_fract_x
_atom_site_fract_y
_atom_site_fract_z
_atom_site_occupancy
Co1 0.5000 0.5000 0.5000 1
Rh1 0.0000 0.5000 0.0000 1
Rh2 0.0000 0.0000 0.5000 1
Rh3 0.5000 0.0000 0.0000 1
Ta1 0.0000 0.0000 0.0000 1
```

Properties
* M_tot: 0.51 μB/atom

Version b
TaCoRh3: optimized geometry, PBE.

Structure (CIF):
```
data_TaCoRh3
_chemical_formula_sum 'Ta1 Co1 Rh3'
_cell_length_a 4.3895
_cell_length_b 4.3895
_cell_length_c 4.3895
_cell_angle_alpha 90.00
_cell_angle_beta 90.00
_cell_angle_gamma 90.00
_space_group_name_H-M_alt 'P 1'
_space_group_IT_number 1
loop_
_space_group_symop_operation_xyz
'x,y,z'
loop_
_atom_site_label
_atom_site_fract_x
_atom_site_fract_y
_atom_site_fract_z
_atom_site_occupancy
Co1 0.0000 0.0000 0.0000 1
Rh1 0.0000 0.5000 0.0000 1
Rh2 0.0000 0.0000 0.5000 1
Rh3 0.5000 0.0000 0.0000 1
Ta1 0.5000 0.5000 0.5000 1
```

Properties
* M_tot: 0.52 μB/atom

Most stable to least stable, the ends of the list are version b and version a.

Version a
TaCoRh: optimized geometry, PBE.

Structure (CIF):
```
data_TaCoRh
_chemical_formula_sum 'Ta1 Co1 Rh1'
_cell_length_a 5.4010
_cell_length_b 3.6391
_cell_length_c 3.2972
_cell_angle_alpha 89.99
_cell_angle_beta 89.99
_cell_angle_gamma 47.67
_space_group_name_H-M_alt 'P 1'
_space_group_IT_number 1
loop_
_space_group_symop_operation_xyz
'x,y,z'
loop_
_atom_site_label
_atom_site_fract_x
_atom_site_fract_y
_atom_site_fract_z
_atom_site_occupancy
Ta1 0.0000 0.5000 0.0000 1
Co1 0.0000 0.0000 0.5000 1
Rh1 0.5000 0.5000 0.0000 1
```

Properties
* M_tot: 0.00 μB/atom

Version b
TaCoRh: optimized geometry, PBE.

Structure (CIF):
```
data_TaCoRh
_chemical_formula_sum 'Ta1 Co1 Rh1'
_cell_length_a 4.8952
_cell_length_b 4.8952
_cell_length_c 4.8952
_cell_angle_alpha 142.35
_cell_angle_beta 142.35
_cell_angle_gamma 54.31
_space_group_name_H-M_alt 'P 1'
_space_group_IT_number 1
loop_
_space_group_symop_operation_xyz
'x,y,z'
loop_
_atom_site_label
_atom_site_fract_x
_atom_site_fract_y
_atom_site_fract_z
_atom_site_occupancy
Co1 0.0124 0.0124 0.0000 1
Rh1 0.3301 0.3301 0.0000 1
Ta1 0.6574 0.6574 0.0000 1
```

Properties
* M_tot: 0.29 μB/atom

Version c
TaCoRh: optimized geometry, PBE.

Structure (CIF):
```
data_TaCoRh
_chemical_formula_sum 'Ta1 Co1 Rh1'
_cell_length_a 4.2758
_cell_length_b 4.2758
_cell_length_c 2.7362
_cell_angle_alpha 90.00
_cell_angle_beta 90.00
_cell_angle_gamma 120.00
_space_group_name_H-M_alt 'P 1'
_space_group_IT_number 1
loop_
_space_group_symop_operation_xyz
'x,y,z'
loop_
_atom_site_label
_atom_site_fract_x
_atom_site_fract_y
_atom_site_fract_z
_atom_site_occupancy
Co1 0.0000 0.0000 0.9175 1
Rh1 0.6667 0.3333 0.3520 1
Ta1 0.3333 0.6667 0.7305 1
```

Properties
* M_tot: 0.32 μB/atom

Version d
TaCoRh: optimized geometry, PBE.

Structure (CIF):
```
data_TaCoRh
_chemical_formula_sum 'Ta1 Co1 Rh1'
_cell_length_a 4.1375
_cell_length_b 4.1375
_cell_length_c 4.1375
_cell_angle_alpha 60.00
_cell_angle_beta 60.00
_cell_angle_gamma 60.00
_space_group_name_H-M_alt 'P 1'
_space_group_IT_number 1
loop_
_space_group_symop_operation_xyz
'x,y,z'
loop_
_atom_site_label
_atom_site_fract_x
_atom_site_fract_y
_atom_site_fract_z
_atom_site_occupancy
Co1 0.0000 0.0000 0.0000 1
Rh1 0.5000 0.5000 0.5000 1
Ta1 0.7500 0.7500 0.7500 1
```

Properties
* M_tot: 0.00 μB/atom

Most stable to least stable, the ends of the list are version b and version a.

Version a
Ta4CoRh: optimized geometry, PBE.

Structure (CIF):
```
data_Ta4CoRh
_chemical_formula_sum 'Ta8 Co2 Rh2'
_cell_length_a 5.1028
_cell_length_b 6.2185
_cell_length_c 6.2185
_cell_angle_alpha 90.00
_cell_angle_beta 90.00
_cell_angle_gamma 90.00
_space_group_name_H-M_alt 'P 1'
_space_group_IT_number 1
loop_
_space_group_symop_operation_xyz
'x,y,z'
loop_
_atom_site_label
_atom_site_fract_x
_atom_site_fract_y
_atom_site_fract_z
_atom_site_occupancy
Ta1 0.0000 0.1670 0.6506 1
Ta2 0.0000 0.8330 0.3494 1
Ta3 0.0000 0.3494 0.1670 1
Ta4 0.0000 0.6506 0.8330 1
Ta5 0.5000 0.8330 0.6506 1
Ta6 0.5000 0.1670 0.3494 1
Ta7 0.5000 0.6506 0.1670 1
Ta8 0.5000 0.3494 0.8330 1
Co1 0.2500 0.5000 0.5000 1
Co2 0.7500 0.5000 0.5000 1
Rh1 0.2500 0.0000 0.0000 1
Rh2 0.7500 0.0000 0.0000 1
```

Properties
* M_tot: 0.00 μB/atom

Version b
Ta4CoRh: optimized geometry, PBE.

Structure (CIF):
```
data_Ta4CoRh
_chemical_formula_sum 'Ta4 Co1 Rh1'
_cell_length_a 5.2931
_cell_length_b 5.2931
_cell_length_c 5.2931
_cell_angle_alpha 60.00
_cell_angle_beta 60.00
_cell_angle_gamma 60.00
_space_group_name_H-M_alt 'P 1'
_space_group_IT_number 1
loop_
_space_group_symop_operation_xyz
'x,y,z'
loop_
_atom_site_label
_atom_site_fract_x
_atom_site_fract_y
_atom_site_fract_z
_atom_site_occupancy
Ta1 0.6248 0.6248 0.1255 1
Ta2 0.6248 0.1255 0.6248 1
Ta3 0.6248 0.6248 0.6248 1
Ta4 0.1255 0.6248 0.6248 1
Co1 0.2500 0.2500 0.2500 1
Rh1 0.0000 0.0000 0.0000 1
```

Properties
* M_tot: 0.03 μB/atom

Most stable to least stable, the ends of the list are version a and version b.

Version a
TaCo2Rh2: optimized geometry, PBE.

Structure (CIF):
```
data_TaCo2Rh2
_chemical_formula_sum 'Ta2 Co4 Rh4'
_cell_length_a 7.0751
_cell_length_b 7.0751
_cell_length_c 2.7858
_cell_angle_alpha 90.00
_cell_angle_beta 90.00
_cell_angle_gamma 90.00
_space_group_name_H-M_alt 'P 1'
_space_group_IT_number 1
loop_
_space_group_symop_operation_xyz
'x,y,z'
loop_
_atom_site_label
_atom_site_fract_x
_atom_site_fract_y
_atom_site_fract_z
_atom_site_occupancy
Co1 0.1675 0.6675 0.5000 1
Co2 0.6675 0.8325 0.5000 1
Co3 0.8325 0.3325 0.5000 1
Co4 0.3325 0.1675 0.5000 1
Rh1 0.3689 0.8689 0.0000 1
Rh2 0.8689 0.6311 0.0000 1
Rh3 0.6311 0.1311 0.0000 1
Rh4 0.1311 0.3689 0.0000 1
Ta1 0.0000 0.0000 0.0000 1
Ta2 0.5000 0.5000 0.0000 1
```

Properties
* M_tot: 0.69 μB/atom

Version b
TaCo2Rh2: optimized geometry, PBE.

Structure (CIF):
```
data_TaCo2Rh2
_chemical_formula_sum 'Ta2 Co4 Rh4'
_cell_length_a 7.0103
_cell_length_b 7.0103
_cell_length_c 2.7994
_cell_angle_alpha 90.00
_cell_angle_beta 90.00
_cell_angle_gamma 90.00
_space_group_name_H-M_alt 'P 1'
_space_group_IT_number 1
loop_
_space_group_symop_operation_xyz
'x,y,z'
loop_
_atom_site_label
_atom_site_fract_x
_atom_site_fract_y
_atom_site_fract_z
_atom_site_occupancy
Co1 0.3784 0.8784 0.0000 1
Co2 0.8784 0.6216 0.0000 1
Co3 0.6216 0.1216 0.0000 1
Co4 0.1216 0.3784 0.0000 1
Rh1 0.1742 0.6742 0.5000 1
Rh2 0.6742 0.8258 0.5000 1
Rh3 0.8258 0.3258 0.5000 1
Rh4 0.3258 0.1742 0.5000 1
Ta1 0.0000 0.0000 0.0000 1
Ta2 0.5000 0.5000 0.0000 1
```

Properties
* M_tot: 0.68 μB/atom

Most stable to least stable, the ends of the list are version b and version a.

Version a
Tb3CoRh: optimized geometry, PBE.

Structure (CIF):
```
data_Tb3CoRh
_chemical_formula_sum 'Tb6 Co2 Rh2'
_cell_length_a 3.9160
_cell_length_b 7.5862
_cell_length_c 8.1976
_cell_angle_alpha 109.30
_cell_angle_beta 90.00
_cell_angle_gamma 90.00
_space_group_name_H-M_alt 'P 1'
_space_group_IT_number 1
loop_
_space_group_symop_operation_xyz
'x,y,z'
loop_
_atom_site_label
_atom_site_fract_x
_atom_site_fract_y
_atom_site_fract_z
_atom_site_occupancy
Tb1 0.7500 0.6407 0.4027 1
Tb2 0.2500 0.3593 0.5973 1
Tb3 0.7500 0.3090 0.9266 1
Tb4 0.2500 0.9096 0.7642 1
Tb5 0.2500 0.6910 0.0734 1
Tb6 0.7500 0.0904 0.2358 1
Co1 0.2500 0.9490 0.4255 1
Co2 0.7500 0.0510 0.5745 1
Rh1 0.2500 0.3621 0.1966 1
Rh2 0.7500 0.6379 0.8034 1
```

Properties
* M_tot: 0.00 μB/atom

Version b
Tb3CoRh: optimized geometry, PBE.

Structure (CIF):
```
data_Tb3CoRh
_chemical_formula_sum 'Tb12 Co4 Rh4'
_cell_length_a 7.2016
_cell_length_b 8.0962
_cell_length_c 8.3426
_cell_angle_alpha 98.35
_cell_angle_beta 90.00
_cell_angle_gamma 90.00
_space_group_name_H-M_alt 'P 1'
_space_group_IT_number 1
loop_
_space_group_symop_operation_xyz
'x,y,z'
loop_
_atom_site_label
_atom_site_fract_x
_atom_site_fract_y
_atom_site_fract_z
_atom_site_occupancy
Tb1 0.0014 0.6921 0.9453 1
Tb2 0.9986 0.3079 0.0547 1
Tb3 0.5014 0.8079 0.0547 1
Tb4 0.4986 0.1921 0.9453 1
Tb5 0.6811 0.4608 0.6926 1
Tb6 0.3189 0.5392 0.3074 1
Tb7 0.1811 0.0392 0.3074 1
Tb8 0.8189 0.9608 0.6926 1
Tb9 0.1909 0.3243 0.6614 1
Tb10 0.8091 0.6757 0.3386 1
Tb11 0.6909 0.1757 0.3386 1
Tb12 0.3091 0.8243 0.6614 1
Co1 0.9992 0.6196 0.6009 1
Co2 0.0008 0.3804 0.3991 1
Co3 0.4992 0.8804 0.3991 1
Co4 0.5008 0.1196 0.6009 1
Rh1 0.3164 0.4995 0.9499 1
Rh2 0.6836 0.5005 0.0501 1
Rh3 0.8164 0.0005 0.0501 1
Rh4 0.1836 0.9995 0.9499 1
```

Properties
* M_tot: 0.00 μB/atom

Most stable to least stable, the ends of the list are version a and version b.